10
Lattice="-2.160 -2.322 1.650 0.032 -3.586 -5.003 6.304 -2.064 1.520" Properties=species:S:1:pos:R:3 comment="LaMnO3 (PBE with a Hubbard U, relaxed)" e_tot_ev_per_fu=-36.9 pbc="T T T"
La 0.249 -3.739 -2.998
O -0.670 -2.362 1.605
O 4.832 -3.895 -1.047
Mn 3.860 -4.175 -2.662
O -0.655 -4.076 -0.786
La 3.928 -4.232 1.165
O 2.236 -4.974 -2.100
O 1.941 -2.997 0.267
O 4.847 -5.609 -3.438
Mn 0.317 -3.796 0.830